(1)
A plane-wave DFT calculation with GGA-PBE was carried out for a relaxed La9Pr2Nd3 crystal.

Computed properties:
As for the density of states at the Fermi level: 43.26 states/eV/cell. The total moment comes out at 0.000 μB/atom. As for the energy relative to the elements: 2.75 eV/f.u.

a b c (Å): 9.3273 9.3273 13.8187
angles (deg): 90.00 90.00 120.00
With the nearest neighbours (Å) after each atom.
Positions (direct):
La (0.0757, 0.4838, 0.2500)  2 Nd 3.22-3.52
La (0.1268, 0.7357, 0.0364)  1 Pr 3.33, 3 La 3.38-3.65, 1 Nd 3.61
La (0.1268, 0.7357, 0.4636)  1 Pr 3.33, 3 La 3.38-3.65, 1 Nd 3.61
La (0.2643, 0.3912, 0.0364)  1 Pr 3.33, 3 La 3.38-3.65, 1 Nd 3.61
La (0.2643, 0.3912, 0.4636)  1 Pr 3.33, 3 La 3.38-3.65, 1 Nd 3.61
La (0.3912, 0.1268, 0.5364)  1 Pr 3.33, 3 La 3.38-3.65, 1 Nd 3.61
La (0.3912, 0.1268, 0.9636)  1 Pr 3.33, 3 La 3.38-3.65, 1 Nd 3.61
La (0.4081, 0.9243, 0.2500)  2 Nd 3.22-3.52
La (0.4838, 0.4081, 0.7500)  2 Nd 3.22-3.52
La (0.5162, 0.5919, 0.2500)  2 Nd 3.22-3.52
La (0.5919, 0.0757, 0.7500)  2 Nd 3.22-3.52
La (0.6088, 0.8732, 0.0364)  1 Pr 3.33, 3 La 3.38-3.65, 1 Nd 3.61
La (0.6088, 0.8732, 0.4636)  1 Pr 3.33, 3 La 3.38-3.65, 1 Nd 3.61
La (0.7357, 0.6088, 0.5364)  1 Pr 3.33, 3 La 3.38-3.65, 1 Nd 3.61
La (0.7357, 0.6088, 0.9636)  1 Pr 3.33, 3 La 3.38-3.65, 1 Nd 3.61
La (0.8732, 0.2643, 0.5364)  1 Pr 3.33, 3 La 3.38-3.65, 1 Nd 3.61
La (0.8732, 0.2643, 0.9636)  1 Pr 3.33, 3 La 3.38-3.65, 1 Nd 3.61
La (0.9243, 0.5162, 0.7500)  2 Nd 3.22-3.52
Pr (0.3333, 0.6667, 0.6371)  1 Pr 3.12, 3 La 3.33
Pr (0.3333, 0.6667, 0.8629)  1 Pr 3.12, 3 La 3.33
Pr (0.6667, 0.3333, 0.1371)  1 Pr 3.12, 3 La 3.33
Pr (0.6667, 0.3333, 0.3629)  1 Pr 3.12, 3 La 3.33
Nd (0.0881, 0.2488, 0.7500)  2 La 3.22-3.52, 2 Nd 3.53
Nd (0.1607, 0.9119, 0.7500)  2 La 3.22-3.52, 2 Nd 3.53
Nd (0.2488, 0.1607, 0.2500)  2 La 3.22-3.52, 2 Nd 3.53
Nd (0.7512, 0.8393, 0.7500)  2 La 3.22-3.52, 2 Nd 3.53
Nd (0.8393, 0.0881, 0.2500)  2 La 3.22-3.52, 2 Nd 3.53
Nd (0.9119, 0.7512, 0.2500)  2 La 3.22-3.52, 2 Nd 3.53

(2)
A plane-wave DFT calculation with GGA-PBE was carried out for a relaxed La2Pr3Nd4 crystal.

Computed properties:
The energy above the lowest structure with this stoichiometry comes out at 0.00 eV/f.u. As for the density of states at the Fermi level: 16.70 states/eV/cell. The total moment comes out at 0.000 μB/atom. As for the energy relative to the elements: 0.15 eV/f.u.

a b c (Å): 6.4306 6.4306 11.1306
angles (deg): 106.73 106.73 48.23
With the nearest neighbours (Å) after each atom.
Positions (direct):
La (0.1666, 0.1666, 0.2214)  7 Nd 3.71-3.72, 5 Pr 3.71-3.73
La (0.8334, 0.8334, 0.7786)  7 Nd 3.71-3.72, 5 Pr 3.71-3.73
Pr (0.1670, 0.1670, 0.5569)  6 Nd 3.69-3.72, 3 La 3.71-3.73, 3 Pr 3.72
Pr (0.5000, 0.5000, 0.0000)  4 La 3.71, 8 Nd 3.71-3.72
Pr (0.8330, 0.8330, 0.4431)  6 Nd 3.69-3.72, 3 La 3.71-3.73, 3 Pr 3.72
Nd (0.1663, 0.1663, 0.8883)  4 Pr 3.69-3.72, 4 La 3.71, 4 Nd 3.72
Nd (0.4992, 0.4992, 0.6659)  3 Nd 3.70-3.72, 6 Pr 3.70-3.72, 3 La 3.72
Nd (0.5008, 0.5008, 0.3341)  3 Nd 3.70-3.72, 6 Pr 3.70-3.72, 3 La 3.72
Nd (0.8337, 0.8337, 0.1117)  4 Pr 3.69-3.72, 4 La 3.71, 4 Nd 3.72

(3)
A plane-wave DFT calculation with GGA-PBE was carried out for a relaxed La9PrNd2 crystal.

Computed properties:
The energy above the lowest structure with this stoichiometry comes out at 0.22 eV/f.u. As for the density of states at the Fermi level: 18.52 states/eV/cell. The total moment comes out at 0.000 μB/atom. As for the energy relative to the elements: 0.24 eV/f.u.

a b c (Å): 11.7513 11.7513 3.6604
angles (deg): 90.00 90.00 120.00
With the nearest neighbours (Å) after each atom.
Positions (direct):
La (0.0000, 0.5000, 0.0000)  2 Nd 3.39, 10 La 3.66-3.80
La (0.1732, 0.3463, 0.5000)  8 La 3.52-3.80, 2 Nd 3.74
La (0.1732, 0.8268, 0.5000)  8 La 3.52-3.80, 2 Nd 3.74
La (0.3463, 0.1732, 0.5000)  8 La 3.52-3.80, 2 Nd 3.74
La (0.5000, 0.0000, 0.0000)  2 Nd 3.39, 10 La 3.66-3.80
La (0.5000, 0.5000, 0.0000)  2 Nd 3.39, 10 La 3.66-3.80
La (0.6537, 0.8268, 0.5000)  8 La 3.52-3.80, 2 Nd 3.74
La (0.8268, 0.1732, 0.5000)  8 La 3.52-3.80, 2 Nd 3.74
La (0.8268, 0.6537, 0.5000)  8 La 3.52-3.80, 2 Nd 3.74
Pr (0.0000, 0.0000, 0.0000)  2 Pr 3.66, 12 La 3.97
Nd (0.3333, 0.6667, 0.0000)  9 La 3.39-3.74, 2 Nd 3.66
Nd (0.6667, 0.3333, 0.0000)  9 La 3.39-3.74, 2 Nd 3.66

(4)
A plane-wave DFT calculation with GGA-PBE was carried out for a relaxed La4Pr3Nd8 crystal.

Computed properties:
As for the density of states at the Fermi level: 27.93 states/eV/cell. The total moment comes out at 0.000 μB/atom. As for the energy relative to the elements: 4.55 eV/f.u.

a b c (Å): 9.5724 9.5724 7.0063
angles (deg): 111.45 111.45 87.12
With the nearest neighbours (Å) after each atom.
Positions (direct):
La (0.0000, 0.0000, 0.0000)  2 La 3.50, 4 Nd 3.65-3.75
La (0.0000, 0.0000, 0.5000)  6 Nd 3.38-3.60, 2 La 3.50
La (0.0000, 0.5000, 0.0000)  4 Nd 3.31-3.47, 2 Pr 3.50
La (0.5000, 0.0000, 0.0000)  4 Nd 3.31-3.47, 2 Pr 3.50
Pr (0.0000, 0.5000, 0.5000)  4 Nd 3.30-3.47, 2 La 3.50
Pr (0.5000, 0.0000, 0.5000)  4 Nd 3.30-3.47, 2 La 3.50
Pr (0.5000, 0.5000, 0.5000)  6 Nd 3.21-3.37
Nd (0.2565, 0.7435, 0.5000)  3 Pr 3.21-3.47, 3 La 3.38-3.47
Nd (0.2647, 0.2647, 0.5217)  1 Nd 3.29, 3 Pr 3.30-3.34, 2 La 3.60-3.65
Nd (0.2686, 0.2686, 0.9946)  1 Nd 3.29, 3 La 3.31-3.59, 1 Pr 3.37
Nd (0.3566, 0.6434, 0.0000)  7 Nd 3.71-3.80, 2 La 3.74, 4 Pr 3.74-3.98
Nd (0.6434, 0.3566, 0.0000)  7 Nd 3.71-3.80, 2 La 3.74, 4 Pr 3.74-3.98
Nd (0.7314, 0.7314, 0.0054)  1 Nd 3.29, 3 La 3.31-3.59, 1 Pr 3.37
Nd (0.7353, 0.7353, 0.4783)  1 Nd 3.29, 3 Pr 3.30-3.34, 2 La 3.60-3.65
Nd (0.7435, 0.2565, 0.5000)  3 Pr 3.21-3.47, 3 La 3.38-3.47

(5)
A plane-wave DFT calculation with GGA-PBE was carried out for a relaxed La5Pr12Nd crystal.

Computed properties:
As for the density of states at the Fermi level: 31.94 states/eV/cell. The total moment comes out at 0.000 μB/atom. As for the energy relative to the elements: 0.20 eV/f.u.

a b c (Å): 11.1485 11.1485 5.2723
angles (deg): 90.00 90.00 90.01
With the nearest neighbours (Å) after each atom.
Positions (direct):
La (0.0000, 0.0000, 0.0000)  4 La 3.72, 8 Pr 3.73
La (0.1665, 0.8335, 0.5000)  4 La 3.72, 8 Pr 3.72-3.73
La (0.3333, 0.6667, 0.0000)  8 Pr 3.72, 2 Nd 3.72, 2 La 3.72
La (0.6667, 0.3333, 0.0000)  8 Pr 3.72, 2 Nd 3.72, 2 La 3.72
La (0.8335, 0.1665, 0.5000)  4 La 3.72, 8 Pr 3.72-3.73
Pr (0.0008, 0.3343, 0.0000)  8 Pr 3.70-3.73, 4 La 3.72-3.73
Pr (0.1674, 0.1674, 0.5000)  8 Pr 3.70-3.72, 4 La 3.72-3.73
Pr (0.1671, 0.4996, 0.5000)  8 Pr 3.70-3.73, 1 Nd 3.71, 3 La 3.72
Pr (0.3333, 0.3333, 0.0000)  8 Pr 3.71-3.72, 2 La 3.72, 2 Nd 3.72
Pr (0.3343, 0.0008, 0.0000)  8 Pr 3.70-3.73, 4 La 3.72-3.73
Pr (0.4996, 0.1671, 0.5000)  8 Pr 3.70-3.73, 1 Nd 3.71, 3 La 3.72
Pr (0.5004, 0.8329, 0.5000)  8 Pr 3.70-3.73, 1 Nd 3.71, 3 La 3.72
Pr (0.6657, 0.9992, 0.0000)  8 Pr 3.70-3.73, 4 La 3.72-3.73
Pr (0.6667, 0.6667, 0.0000)  8 Pr 3.71-3.72, 2 La 3.72, 2 Nd 3.72
Pr (0.8329, 0.5004, 0.5000)  8 Pr 3.70-3.73, 1 Nd 3.71, 3 La 3.72
Pr (0.8326, 0.8326, 0.5000)  8 Pr 3.70-3.72, 4 La 3.72-3.73
Pr (0.9992, 0.6657, 0.0000)  8 Pr 3.70-3.73, 4 La 3.72-3.73
Nd (0.5000, 0.5000, 0.5000)  8 Pr 3.71-3.72, 4 La 3.72

(6)
A plane-wave DFT calculation with GGA-PBE was carried out for a relaxed LaPr4Nd crystal.

Computed properties:
The energy above the lowest structure with this stoichiometry comes out at 1.28 eV/f.u. As for the density of states at the Fermi level: 10.56 states/eV/cell. The total moment comes out at 0.000 μB/atom. As for the energy relative to the elements: 1.37 eV/f.u.

a b c (Å): 6.7933 6.7933 6.7933
angles (deg): 60.00 60.00 60.00
With the nearest neighbours (Å) after each atom.
Positions (direct):
La (0.0000, 0.0000, 0.0000)  12 Pr 3.98, 4 Nd 4.16
Pr (0.1262, 0.6246, 0.6246)  6 Pr 3.39-3.41
Pr (0.6246, 0.1262, 0.6246)  6 Pr 3.39-3.41
Pr (0.6246, 0.6246, 0.1262)  6 Pr 3.39-3.41
Pr (0.6246, 0.6246, 0.6246)  6 Pr 3.39-3.41
Nd (0.2500, 0.2500, 0.2500)  12 Pr 3.98, 4 La 4.16

(7)
A plane-wave DFT calculation with GGA-PBE was carried out for a relaxed LaPr12Nd7 crystal.

Computed properties:
The energy above the lowest structure with this stoichiometry comes out at 7.61 eV/f.u. As for the density of states at the Fermi level: 28.16 states/eV/cell. The total moment comes out at 0.000 μB/atom. As for the energy relative to the elements: 11.53 eV/f.u.

a b c (Å): 10.2087 10.2087 10.2087
angles (deg): 109.47 109.47 109.47
With the nearest neighbours (Å) after each atom.
Positions (direct):
La (0.0000, 0.0000, 0.0000)  12 Pr 4.20
Pr (0.0021, 0.2531, 0.7491)  2 Nd 2.95
Pr (0.2509, 0.5040, 0.2531)  2 Nd 2.95
Pr (0.2509, 0.9979, 0.7469)  2 Nd 2.95
Pr (0.2531, 0.2509, 0.5040)  2 Nd 2.95
Pr (0.2531, 0.7491, 0.0021)  2 Nd 2.95
Pr (0.4960, 0.7469, 0.7491)  2 Nd 2.95
Pr (0.5040, 0.2531, 0.2509)  2 Nd 2.95
Pr (0.7469, 0.2509, 0.9979)  2 Nd 2.95
Pr (0.7469, 0.7491, 0.4960)  2 Nd 2.95
Pr (0.7491, 0.0021, 0.2531)  2 Nd 2.95
Pr (0.7491, 0.4960, 0.7469)  2 Nd 2.95
Pr (0.9979, 0.7469, 0.2509)  2 Nd 2.95
Nd (0.0000, 0.0000, 0.5000)  6 Pr 2.95
Nd (0.0000, 0.5000, 0.0000)  6 Pr 2.95
Nd (0.0000, 0.5000, 0.5000)  12 Pr 4.13-4.19
Nd (0.5000, 0.0000, 0.0000)  6 Pr 2.95
Nd (0.5000, 0.0000, 0.5000)  12 Pr 4.13-4.19
Nd (0.5000, 0.5000, 0.0000)  12 Pr 4.13-4.19
Nd (0.5000, 0.5000, 0.5000)  6 Pr 2.95

(8)
A plane-wave DFT calculation with GGA-PBE was carried out for a relaxed La3Pr6Nd2 crystal.

Computed properties:
The energy above the lowest structure with this stoichiometry comes out at 2.46 eV/f.u. As for the density of states at the Fermi level: 15.48 states/eV/cell. The total moment comes out at 0.000 μB/atom. As for the energy relative to the elements: 2.64 eV/f.u.

a b c (Å): 17.5306 17.5306 17.5306
angles (deg): 163.82 163.82 22.96
With the nearest neighbours (Å) after each atom.
Positions (direct):
La (0.0000, 0.0000, 0.0000)  8 Nd 3.81
La (0.2053, 0.2053, 0.0000)  9 Pr 3.46-3.86
La (0.7947, 0.7947, 0.0000)  9 Pr 3.46-3.86
Pr (0.1187, 0.6187, 0.5000)  6 Pr 3.49-3.57, 2 Nd 3.54, 2 La 3.86
Pr (0.3061, 0.3061, 0.0000)  5 La 3.46-3.51, 4 Pr 3.57
Pr (0.3813, 0.8813, 0.5000)  6 Pr 3.49-3.57, 2 Nd 3.54, 2 La 3.86
Pr (0.6187, 0.1187, 0.5000)  6 Pr 3.49-3.57, 2 Nd 3.54, 2 La 3.86
Pr (0.6939, 0.6939, 0.0000)  5 La 3.46-3.51, 4 Pr 3.57
Pr (0.8813, 0.3813, 0.5000)  6 Pr 3.49-3.57, 2 Nd 3.54, 2 La 3.86
Nd (0.4552, 0.4552, 0.0000)  1 Nd 3.08
Nd (0.5448, 0.5448, 0.0000)  1 Nd 3.08

(9)
A plane-wave DFT calculation with GGA-PBE was carried out for a relaxed La8Pr6Nd crystal.

Computed properties:
The energy above the lowest structure with this stoichiometry comes out at 0.22 eV/f.u. As for the density of states at the Fermi level: 25.68 states/eV/cell. The total moment comes out at 0.000 μB/atom. As for the energy relative to the elements: 1.81 eV/f.u.

a b c (Å): 8.5159 8.5159 8.5159
angles (deg): 72.91 72.91 72.91
With the nearest neighbours (Å) after each atom.
Positions (direct):
La (0.0844, 0.0844, 0.0844)  1 La 3.14, 3 Pr 3.15
La (0.1459, 0.5709, 0.2740)  5 Pr 3.51-3.92, 4 La 3.79-3.82, 1 Nd 3.85
La (0.2740, 0.1459, 0.5709)  5 Pr 3.51-3.92, 4 La 3.79-3.82, 1 Nd 3.85
La (0.4291, 0.7260, 0.8541)  5 Pr 3.51-3.92, 4 La 3.79-3.82, 1 Nd 3.85
La (0.5709, 0.2740, 0.1459)  5 Pr 3.51-3.92, 4 La 3.79-3.82, 1 Nd 3.85
La (0.7260, 0.8541, 0.4291)  5 Pr 3.51-3.92, 4 La 3.79-3.82, 1 Nd 3.85
La (0.8541, 0.4291, 0.7260)  5 Pr 3.51-3.92, 4 La 3.79-3.82, 1 Nd 3.85
La (0.9156, 0.9156, 0.9156)  1 La 3.14, 3 Pr 3.15
Pr (0.1058, 0.7825, 0.5853)  2 La 3.15-3.51, 1 Nd 3.53
Pr (0.2175, 0.4147, 0.8942)  2 La 3.15-3.51, 1 Nd 3.53
Pr (0.4147, 0.8942, 0.2175)  2 La 3.15-3.51, 1 Nd 3.53
Pr (0.5853, 0.1058, 0.7825)  2 La 3.15-3.51, 1 Nd 3.53
Pr (0.7825, 0.5853, 0.1058)  2 La 3.15-3.51, 1 Nd 3.53
Pr (0.8942, 0.2175, 0.4147)  2 La 3.15-3.51, 1 Nd 3.53
Nd (0.5000, 0.5000, 0.5000)  6 Pr 3.53, 6 La 3.85

Q: What is the formula in the first record?
A: La9Pr2Nd3

Q: Which value of density of states at the Fermi level does entry 7 give?
A: 28.16 states/eV/cell

Q: The highest energy relative to the elements belongs to which entry?
A: LaPr12Nd7